# ReSi3P

A relaxed ReSi3P crystal (GGA-PBE, Alexandria).

Structure (POSCAR):
```
ReSi3P
1.0
4.378 0.000 0.000
0.000 4.378 0.000
0.000 0.000 4.378
Re Si P
1 3 1
Direct
0.000 0.000 0.000
0.000 0.500 0.500
0.500 0.000 0.500
0.500 0.500 0.000
0.500 0.500 0.500
```

Results
energy: -5.5056 eV/atom
SG: Pm-3m, No. 221
N(E_F): 3.18 states/eV/cell
distance to the lowest polymorph of the same formula: 0.537 eV/atom


# BaNa4Ag4

A relaxed BaNa4Ag4 crystal (GGA-PBE, Alexandria).

Structure (POSCAR):
```
BaNa4Ag4
1.0
8.395 0.000 0.000
0.000 8.395 0.000
0.000 0.000 6.769
Ba Na Ag
2 8 8
Direct
0.250 0.750 0.250
0.750 0.250 0.750
0.134 0.134 0.000
0.134 0.366 0.500
0.366 0.134 0.500
0.366 0.366 0.000
0.634 0.634 0.000
0.634 0.866 0.500
0.866 0.634 0.500
0.866 0.866 0.000
0.084 0.584 0.843
0.084 0.916 0.657
0.416 0.584 0.657
0.416 0.916 0.843
0.584 0.084 0.157
0.584 0.416 0.343
0.916 0.084 0.343
0.916 0.416 0.157
```

Results
energy: -2.0569 eV/atom
SG: P4_2/nnm, No. 134
energy of formation from the pure elements: 0.010 eV/atom
N(E_F): 7.82 states/eV/cell